1.
An optimized crystal structure of HoMnTlCl6, computed with PBE.

```
HoMnTlCl6
1.0
6.460 0.000 0.000
-3.230 5.595 0.000
0.000 0.000 14.605
Ho Mn Tl Cl
2 2 2 12
Direct
0.333 0.667 0.250 Ho
0.667 0.333 0.750 Ho
0.333 0.667 0.750 Mn
0.667 0.333 0.250 Mn
0.000 0.000 0.000 Tl
0.000 0.000 0.500 Tl
0.031 0.381 0.652 Cl
0.031 0.650 0.848 Cl
0.350 0.381 0.848 Cl
0.350 0.969 0.652 Cl
0.381 0.031 0.152 Cl
0.381 0.350 0.348 Cl
0.619 0.650 0.652 Cl
0.619 0.969 0.848 Cl
0.650 0.031 0.348 Cl
0.650 0.619 0.152 Cl
0.969 0.350 0.152 Cl
0.969 0.619 0.348 Cl
```

Computed properties:
**Formation energy without anion corrections**: -1.36 eV per atom
**Energy**: -4.386 eV/atom
**DOS(E_F)**: 0.93 states/eV per atom

---

2.
An optimized crystal structure of HoNCl3, computed with PBE.

```
HoNCl3
1.0
5.267 0.000 0.000
0.006 7.902 0.000
2.244 0.340 8.314
Ho N Cl
2 2 6
Direct
0.001 0.250 0.499 Ho
0.999 0.750 0.501 Ho
0.318 0.747 0.930 N
0.682 0.253 0.070 N
0.090 0.008 0.288 Cl
0.090 0.510 0.288 Cl
0.500 0.250 0.500 Cl
0.500 0.750 0.500 Cl
0.910 0.490 0.712 Cl
0.910 0.992 0.712 Cl
```

Computed properties:
**Formation energy without anion corrections**: -0.77 eV per atom
**Energy**: -4.456 eV/atom
**DOS(E_F)**: 0.00 states/eV per atom

---

3.
An optimized crystal structure of Ho3NCl3, computed with PBE.

```
Ho3NCl3
1.0
3.140 1.813 9.865
-3.140 1.813 9.865
0.000 -3.626 9.865
Ho N Cl
6 2 6
Direct
0.106 0.455 0.805 Ho
0.195 0.894 0.545 Ho
0.455 0.805 0.106 Ho
0.545 0.195 0.894 Ho
0.805 0.106 0.455 Ho
0.894 0.545 0.195 Ho
0.167 0.167 0.167 N
0.833 0.833 0.833 N
0.069 0.724 0.396 Cl
0.276 0.604 0.931 Cl
0.396 0.069 0.724 Cl
0.604 0.931 0.276 Cl
0.724 0.396 0.069 Cl
0.931 0.276 0.604 Cl
```

Computed properties:
**Formation energy without anion corrections**: -1.81 eV per atom
**Energy**: -5.749 eV/atom
**DOS(E_F)**: 0.29 states/eV per atom

---

4.
An optimized crystal structure of Ho2NCl2, computed with PBE.

```
Ho2NCl2
1.0
9.890 -1.908 0.000
9.890 1.908 0.000
-1.047 0.000 7.088
Ho N Cl
4 2 4
Direct
0.171 0.171 0.359 Ho
0.319 0.319 0.070 Ho
0.681 0.681 0.930 Ho
0.829 0.829 0.641 Ho
0.210 0.210 0.100 N
0.790 0.790 0.900 N
0.107 0.107 0.687 Cl
0.418 0.418 0.788 Cl
0.582 0.582 0.212 Cl
0.893 0.893 0.313 Cl
```

Computed properties:
**Formation energy without anion corrections**: -1.85 eV per atom
**Energy**: -6.080 eV/atom
**DOS(E_F)**: 0.23 states/eV per atom

---

5.
An optimized crystal structure of Ho2NCl2, computed with PBE.

```
Ho2NCl2
1.0
1.791 1.034 10.024
-1.791 1.034 10.024
0.000 -2.069 10.024
Ho N Cl
2 1 2
Direct
0.124 0.124 0.124 Ho
0.876 0.876 0.876 Ho
0.500 0.500 0.500 N
0.269 0.269 0.269 Cl
0.731 0.731 0.731 Cl
```

Computed properties:
**Formation energy without anion corrections**: -1.98 eV per atom
**Energy**: -6.214 eV/atom
**DOS(E_F)**: 0.32 states/eV per atom

---

6.
An optimized crystal structure of HoN2Cl3, computed with PBE.

```
HoN2Cl3
1.0
9.517 -2.640 0.000
9.517 2.640 0.000
0.000 0.000 7.907
Ho N Cl
2 4 6
Direct
0.001 0.999 0.750 Ho
0.999 0.001 0.250 Ho
0.317 0.319 0.750 N
0.319 0.317 0.250 N
0.681 0.683 0.750 N
0.683 0.681 0.250 N
0.093 0.093 0.000 Cl
0.093 0.093 0.500 Cl
0.499 0.501 0.250 Cl
0.501 0.499 0.750 Cl
0.907 0.907 0.000 Cl
0.907 0.907 0.500 Cl
```

Computed properties:
**Formation energy without anion corrections**: 0.23 eV per atom
**Energy**: -4.235 eV/atom
**DOS(E_F)**: 0.00 states/eV per atom

---

7.
An optimized crystal structure of NaHoCl3, computed with PBE.

```
NaHoCl3
1.0
6.420 0.000 0.000
-2.378 7.114 0.000
-1.976 -3.082 6.631
Na Ho Cl
2 2 6
Direct
0.234 0.395 0.086 Na
0.766 0.605 0.914 Na
0.000 0.000 0.500 Ho
0.500 0.000 0.500 Ho
0.063 0.660 0.296 Cl
0.259 0.177 0.318 Cl
0.427 0.207 0.830 Cl
0.573 0.793 0.170 Cl
0.741 0.823 0.682 Cl
0.937 0.340 0.704 Cl
```

Computed properties:
**Formation energy without anion corrections**: -1.80 eV per atom
**Energy**: -4.087 eV/atom
**DOS(E_F)**: 0.28 states/eV per atom

---

8.
An optimized crystal structure of Na4Ho2Cl9, computed with PBE.

```
Na4Ho2Cl9
1.0
7.082 0.000 0.000
-3.540 6.135 0.000
-0.027 -0.026 18.688
Na Ho Cl
8 4 18
Direct
0.166 0.334 0.178 Na
0.167 0.333 0.677 Na
0.167 0.334 0.981 Na
0.168 0.334 0.482 Na
0.832 0.666 0.518 Na
0.833 0.666 0.019 Na
0.833 0.667 0.323 Na
0.834 0.666 0.822 Na
0.499 0.998 0.660 Ho
0.499 0.999 0.159 Ho
0.501 0.001 0.841 Ho
0.501 0.002 0.340 Ho
0.164 0.691 0.912 Cl
0.164 0.976 0.412 Cl
0.188 0.027 0.088 Cl
0.188 0.662 0.588 Cl
0.193 0.696 0.250 Cl
0.195 0.000 0.750 Cl
0.472 0.661 0.088 Cl
0.474 0.311 0.588 Cl
0.499 0.693 0.750 Cl
0.501 0.307 0.250 Cl
0.526 0.689 0.412 Cl
0.528 0.339 0.912 Cl
0.805 0.000 0.250 Cl
0.807 0.304 0.750 Cl
0.812 0.338 0.412 Cl
0.812 0.973 0.912 Cl
0.836 0.024 0.588 Cl
0.836 0.309 0.088 Cl
```

Computed properties:
**Formation energy without anion corrections**: -1.97 eV per atom
**Energy**: -4.038 eV/atom

---

9.
An optimized crystal structure of Na2HoCl5, computed with PBE.

```
Na2HoCl5
1.0
2.644 -6.940 0.000
2.644 6.940 0.000
0.000 0.000 13.629
Na Ho Cl
4 2 10
Direct
0.145 0.855 0.556 Na
0.145 0.855 0.944 Na
0.855 0.145 0.056 Na
0.855 0.145 0.444 Na
0.180 0.820 0.250 Ho
0.820 0.180 0.750 Ho
0.045 0.955 0.121 Cl
0.045 0.955 0.379 Cl
0.285 0.715 0.750 Cl
0.301 0.699 0.097 Cl
0.301 0.699 0.403 Cl
0.699 0.301 0.597 Cl
0.699 0.301 0.903 Cl
0.715 0.285 0.250 Cl
0.955 0.045 0.621 Cl
0.955 0.045 0.879 Cl
```

Computed properties:
**ΔE to the lowest computed polymorph**: 0.00 eV/f.u.
**Formation energy without anion corrections**: -2.03 eV per atom
**Energy**: -4.089 eV/atom
**DOS(E_F)**: 0.00 states/eV per atom

---

10.
An optimized crystal structure of Na2HoCl5, computed with PBE.

```
Na2HoCl5
1.0
12.093 0.000 0.000
0.000 8.239 0.000
0.000 0.000 7.749
Na Ho Cl
8 4 20
Direct
0.176 0.005 0.022 Na
0.176 0.495 0.022 Na
0.324 0.505 0.522 Na
0.324 0.995 0.522 Na
0.676 0.005 0.478 Na
0.676 0.495 0.478 Na
0.824 0.505 0.978 Na
0.824 0.995 0.978 Na
0.008 0.750 0.581 Ho
0.492 0.250 0.081 Ho
0.508 0.750 0.919 Ho
0.992 0.250 0.419 Ho
0.014 0.750 0.934 Cl
0.086 0.045 0.660 Cl
0.086 0.455 0.660 Cl
0.180 0.750 0.365 Cl
0.205 0.250 0.316 Cl
0.295 0.750 0.816 Cl
0.320 0.250 0.865 Cl
0.414 0.545 0.160 Cl
0.414 0.955 0.160 Cl
0.486 0.250 0.434 Cl
0.514 0.750 0.566 Cl
0.586 0.045 0.840 Cl
0.586 0.455 0.840 Cl
0.680 0.750 0.135 Cl
0.705 0.250 0.184 Cl
0.795 0.750 0.684 Cl
0.820 0.250 0.635 Cl
0.914 0.545 0.340 Cl
0.914 0.955 0.340 Cl
0.986 0.250 0.066 Cl
```

Computed properties:
**ΔE to the lowest computed polymorph**: 0.05 eV/f.u.
**Formation energy without anion corrections**: -2.03 eV per atom
**Energy**: -4.083 eV/atom
**DOS(E_F)**: 0.00 states/eV per atom

---

11.
An optimized crystal structure of Na3HoCl6, computed with PBE.

```
Na3HoCl6
1.0
6.921 0.000 0.000
0.000 7.317 0.000
-6.740 0.000 10.262
Na Ho Cl
6 2 12
Direct
0.000 0.000 0.000 Na
0.000 0.500 0.500 Na
0.208 0.075 0.734 Na
0.208 0.425 0.234 Na
0.792 0.575 0.766 Na
0.792 0.925 0.266 Na
0.500 0.000 0.500 Ho
0.500 0.500 0.000 Ho
0.127 0.181 0.439 Cl
0.127 0.319 0.939 Cl
0.244 0.700 0.415 Cl
0.244 0.800 0.915 Cl
0.405 0.070 0.264 Cl
0.405 0.430 0.764 Cl
0.595 0.570 0.236 Cl
0.595 0.930 0.736 Cl
0.756 0.200 0.085 Cl
0.756 0.300 0.585 Cl
0.873 0.681 0.061 Cl
0.873 0.819 0.561 Cl
```

Computed properties:
**Formation energy without anion corrections**: -2.00 eV per atom
**Energy**: -3.960 eV/atom
**DOS(E_F)**: 0.00 states/eV per atom

---

12.
An optimized crystal structure of NaHoPb2Cl8, computed with PBE.

```
NaHoPb2Cl8
1.0
6.492 0.000 0.000
0.000 8.586 0.000
-0.048 0.000 6.731
Na Ho Pb Cl
1 1 2 8
Direct
0.000 0.000 0.000 Na
0.000 0.500 0.000 Ho
0.500 0.245 0.500 Pb
0.500 0.755 0.500 Pb
0.219 0.270 0.157 Cl
0.219 0.730 0.157 Cl
0.243 0.500 0.685 Cl
0.273 0.000 0.669 Cl
0.727 0.000 0.331 Cl
0.757 0.500 0.315 Cl
0.781 0.270 0.843 Cl
0.781 0.730 0.843 Cl
```

Computed properties:
**Formation energy without anion corrections**: -1.64 eV per atom
**Energy**: -3.976 eV/atom
**DOS(E_F)**: 0.00 states/eV per atom

---

- Which value of energy does entry 10 give?
  -4.083 eV/atom